LiY2C | PBE | relaxed

Values from the calculation:
**E_tot**: -0.227 hartree per atom
**Energy relative to the elements**: -0.15 eV per atom
**Crystal system**: trigonal
**Magnetic moment**: 0.00 μB/f.u.

Cell lengths 3.5612, 3.5612, 8.7219 Å; angles 90.00, 90.00, 120.00 degrees
Space group P-3m1 (No. 164)
Symmetry-distinct sites (fractional):
Li1 0.0000 0.0000 0.0000 [1 per cell]
Y1 0.3333 0.6667 0.6553 [2 per cell]
C1 0.0000 0.0000 0.5000 [1 per cell]